No. 1
The following is a PBE-GGA calculation of an optimized crystal structure of Ta2Pb, from the Alexandria database.

a b c (Å): 4.913 4.913 5.747
angles (deg): 90.00 90.00 120.00
Element x y z (fractional)
1 Pb 0.667 0.333 0.750
2 Pb 0.333 0.667 0.250
3 Ta 0.333 0.667 0.750
4 Ta 0.667 0.333 0.250
5 Ta 0.000 0.000 0.000
6 Ta 0.000 0.000 0.500

Calculated values
- V: 120 Å³ per cell
- Fermi-level density of states: 0.796 states/eV/atom
- VASP energy: -0.6292 Ry per atom
- Energy of formation: 0.5776 eV/atom

---

No. 2
The following is a PBE-GGA calculation of an optimized crystal structure of TaPb, from the Alexandria database.

a b c (Å): 5.809 5.809 5.809
angles (deg): 47.73 47.73 47.73
Element x y z (fractional)
1 Pb 0.109 0.109 0.109
2 Pb 0.891 0.891 0.891
3 Ta 0.328 0.328 0.328
4 Ta 0.672 0.672 0.672

Calculated values
- V: 98 Å³ per cell
- Fermi-level density of states: 0.758 states/eV/atom
- VASP energy: -0.5169 Ry per atom
- Energy of formation: 0.7484 eV/atom

---

No. 3
The following is a PBE-GGA calculation of an optimized crystal structure of Ta2Pb, from the Alexandria database.

a b c (Å): 4.618 4.618 4.618
angles (deg): 60.00 60.00 60.00
Element x y z (fractional)
1 Ta 0.750 0.750 0.750
2 Ta 0.250 0.250 0.250
3 Pb 0.000 0.000 0.000

Calculated values
- V: 70 Å³ per cell
- Fermi-level density of states: 0.640 states/eV/atom
- VASP energy: -0.5807 Ry per atom
- Energy of formation: 1.2369 eV/atom

---

No. 4
The following is a PBE-GGA calculation of an optimized crystal structure of TaPb, from the Alexandria database.

a b c (Å): 3.237 3.237 4.748
angles (deg): 90.00 90.00 120.00
Element x y z (fractional)
1 Ta 0.667 0.333 0.500
2 Pb 0.000 0.000 0.000

Calculated values
- V: 43 Å³ per cell
- Fermi-level density of states: 0.848 states/eV/atom
- VASP energy: -0.5261 Ry per atom
- Energy of formation: 0.6228 eV/atom

---

No. 5
The following is a PBE-GGA calculation of an optimized crystal structure of Ta3Pb5, from the Alexandria database.

a b c (Å): 6.214 6.214 5.231
angles (deg): 90.00 90.00 97.30
Element x y z (fractional)
1 Pb 0.209 0.791 0.500
2 Pb 0.000 0.500 0.000
3 Pb 0.500 0.000 0.000
4 Pb 0.000 0.000 0.000
5 Pb 0.791 0.209 0.500
6 Ta 0.662 0.662 0.500
7 Ta 0.338 0.338 0.500
8 Ta 0.500 0.500 0.000

Calculated values
- V: 200 Å³ per cell
- Fermi-level density of states: 0.670 states/eV/atom
- VASP energy: -0.4544 Ry per atom
- Energy of formation: 0.5803 eV/atom

---

No. 6
The following is a PBE-GGA calculation of an optimized crystal structure of TaPb, from the Alexandria database.

a b c (Å): 5.040 5.040 5.040
angles (deg): 60.00 60.00 60.00
Element x y z (fractional)
1 Ta 0.875 0.875 0.875
2 Ta 0.125 0.125 0.125
3 Pb 0.625 0.625 0.625
4 Pb 0.375 0.375 0.375

Calculated values
- V: 91 Å³ per cell
- Fermi-level density of states: 0.942 states/eV/atom
- VASP energy: -0.5100 Ry per atom
- Energy of formation: 0.8414 eV/atom